No. 1
This record from the Alexandria database describes a geometry-optimized K3SnPd2O6 structure. The functional is PBE.

Results
Energy relative to the elements, uncorrected, meV per atom: -1040

a b c (Å): 5.7175 10.1434 6.2487
angles (deg): 90.00 106.70 90.00
Closest atoms and distances in Å follow each position.
Space group C2/m (No. 12)
Asymmetric unit:
1 K 0.0000 0.0000 0.0000 (multiplicity 2)  6 O 2.69-2.70
2 K 0.0000 0.3238 0.0000 (multiplicity 4)  6 O 2.70-2.74
3 Sn 0.0000 0.5000 0.5000 (multiplicity 2)  6 O 2.12-2.16
4 Pd 0.0000 0.1638 0.5000 (multiplicity 4)  6 O 2.16-2.32
5 O 0.2276 0.3419 0.6781 (multiplicity 8)  2 Pd 2.16-2.32, 1 Sn 2.16
6 O 0.2479 0.0000 0.6913 (multiplicity 4)  1 Sn 2.12, 2 Pd 2.29


No. 2
This record from the Alexandria database describes a geometry-optimized Pr2Dy8Hg structure. The functional is PBE.

Results
Energy of formation from the pure elements, eV/atom: 0.02
Energy above the most stable polymorph in this dataset, meV/atom: 53

a b c (Å): 18.7951 5.5121 7.5033
angles (deg): 90.00 113.46 90.00
Closest atoms and distances in Å follow each position.
Space group C2/m (No. 12)
Asymmetric unit:
1 Pr 0.1922 0.0000 0.1921 (multiplicity 4)  12 Dy 3.43-3.80
2 Dy 0.0002 0.0000 0.2464 (multiplicity 4)  2 Hg 3.35, 7 Dy 3.59-3.69
3 Dy 0.1332 0.5000 0.8982 (multiplicity 4)  1 Hg 3.04
4 Dy 0.1338 0.5000 0.3700 (multiplicity 4)  1 Hg 3.04
5 Dy 0.1827 0.0000 0.6832 (multiplicity 4)  8 Dy 3.50-3.68, 4 Pr 3.50-3.76
6 Hg 0.0000 0.5000 0.5000 (multiplicity 2)  8 Dy 3.04-3.35